[1]
# Ca2Sn2HgPd5 PBE-GGA optimized geometry
# Total moment (μB/f.u.): 0.00
# Total DFT energy (no corrections) (eV/cell): -87.3
# Density (g/cm³): 8.43
# Space-group type: P4/mbm
# ΔH_f (0 K) (eV per atom): -0.5387
data_Ca2Sn2HgPd5
_cell_length_a 10.573
_cell_length_b 10.573
_cell_length_c 3.703
_cell_angle_alpha 90.00
_cell_angle_beta 90.00
_cell_angle_gamma 90.00
_symmetry_space_group_name_H-M 'P 1'
_symmetry_Int_Tables_number 1
loop_
_symmetry_equiv_pos_as_xyz
'x,y,z'
loop_
_atom_site_label
_atom_site_type_symbol
_atom_site_fract_x
_atom_site_fract_y
_atom_site_fract_z
_atom_site_occupancy
Ca1 Ca 0.170 0.330 0.000 1
Ca2 Ca 0.330 0.830 0.000 1
Ca3 Ca 0.670 0.170 0.000 1
Ca4 Ca 0.830 0.670 0.000 1
Sn1 Sn 0.130 0.630 0.000 1
Sn2 Sn 0.370 0.130 0.000 1
Sn3 Sn 0.630 0.870 0.000 1
Sn4 Sn 0.870 0.370 0.000 1
Hg1 Hg 0.000 0.000 0.000 1
Hg2 Hg 0.500 0.500 0.000 1
Pd1 Pd 0.000 0.500 0.500 1
Pd2 Pd 0.053 0.802 0.500 1
Pd3 Pd 0.198 0.053 0.500 1
Pd4 Pd 0.302 0.553 0.500 1
Pd5 Pd 0.447 0.302 0.500 1
Pd6 Pd 0.500 0.000 0.500 1
Pd7 Pd 0.553 0.698 0.500 1
Pd8 Pd 0.698 0.447 0.500 1
Pd9 Pd 0.802 0.947 0.500 1
Pd10 Pd 0.947 0.198 0.500 1

---

[2]
# Ca2Sn3HgPd4 PBE-GGA optimized geometry
# Total moment (μB/f.u.): 0.00
# Total DFT energy (no corrections) (eV/cell): -43.2
# Density (g/cm³): 7.68
# Space-group type: P-4m2
# ΔH_f (0 K) (eV per atom): -0.6099
data_Ca2Sn3HgPd4
_cell_length_a 4.666
_cell_length_b 4.666
_cell_length_c 10.557
_cell_angle_alpha 90.00
_cell_angle_beta 90.00
_cell_angle_gamma 90.00
_symmetry_space_group_name_H-M 'P 1'
_symmetry_Int_Tables_number 1
loop_
_symmetry_equiv_pos_as_xyz
'x,y,z'
loop_
_atom_site_label
_atom_site_type_symbol
_atom_site_fract_x
_atom_site_fract_y
_atom_site_fract_z
_atom_site_occupancy
Ca1 Ca 0.000 0.500 0.243 1
Ca2 Ca 0.500 0.000 0.757 1
Sn1 Sn 0.000 0.500 0.879 1
Sn2 Sn 0.500 0.000 0.121 1
Sn3 Sn 0.500 0.500 0.500 1
Hg1 Hg 0.000 0.000 0.500 1
Pd1 Pd 0.000 0.000 0.000 1
Pd2 Pd 0.000 0.500 0.634 1
Pd3 Pd 0.500 0.000 0.366 1
Pd4 Pd 0.500 0.500 0.000 1

---

[3]
# SrCaHgPd PBE-GGA optimized geometry
# Total moment (μB/f.u.): 0.00
# Total DFT energy (no corrections) (eV/cell): -11.3
# Polymorph energy (0 for the lowest one) (meV per atom): 38
# Density (g/cm³): 6.74
# Space-group type: F-43m
# ΔH_f (0 K) (eV per atom): -0.5219
data_SrCaHgPd
_cell_length_a 5.330
_cell_length_b 5.330
_cell_length_c 5.330
_cell_angle_alpha 60.00
_cell_angle_beta 60.00
_cell_angle_gamma 60.00
_symmetry_space_group_name_H-M 'P 1'
_symmetry_Int_Tables_number 1
loop_
_symmetry_equiv_pos_as_xyz
'x,y,z'
loop_
_atom_site_label
_atom_site_type_symbol
_atom_site_fract_x
_atom_site_fract_y
_atom_site_fract_z
_atom_site_occupancy
Sr1 Sr 0.000 0.000 0.000 1
Ca1 Ca 0.500 0.500 0.500 1
Hg1 Hg 0.250 0.250 0.250 1
Pd1 Pd 0.750 0.750 0.750 1

---

[4]
# SrCa2HgPd PBE-GGA optimized geometry
# Total moment (μB/f.u.): 0.00
# Total DFT energy (no corrections) (eV/cell): -12.7
# Polymorph energy (0 for the lowest one) (meV per atom): 54
# Density (g/cm³): 4.74
# Space-group type: P4/mmm
# ΔH_f (0 K) (eV per atom): -0.3078
data_SrCa2HgPd
_cell_length_a 5.495
_cell_length_b 5.495
_cell_length_c 5.505
_cell_angle_alpha 90.00
_cell_angle_beta 90.00
_cell_angle_gamma 90.00
_symmetry_space_group_name_H-M 'P 1'
_symmetry_Int_Tables_number 1
loop_
_symmetry_equiv_pos_as_xyz
'x,y,z'
loop_
_atom_site_label
_atom_site_type_symbol
_atom_site_fract_x
_atom_site_fract_y
_atom_site_fract_z
_atom_site_occupancy
Sr1 Sr 0.000 0.000 0.000 1
Ca1 Ca 0.000 0.500 0.500 1
Ca2 Ca 0.500 0.000 0.500 1
Hg1 Hg 0.500 0.500 0.000 1
Pd1 Pd 0.500 0.500 0.500 1

---

[5]
# Sr2CaHgPd PBE-GGA optimized geometry
# Total moment (μB/f.u.): 0.00
# Total DFT energy (no corrections) (eV/cell): -12.6
# Density (g/cm³): 4.50
# Space-group type: P4/mmm
# ΔH_f (0 K) (eV per atom): -0.3544
data_Sr2CaHgPd
_cell_length_a 5.909
_cell_length_b 5.909
_cell_length_c 5.523
_cell_angle_alpha 90.00
_cell_angle_beta 90.00
_cell_angle_gamma 90.00
_symmetry_space_group_name_H-M 'P 1'
_symmetry_Int_Tables_number 1
loop_
_symmetry_equiv_pos_as_xyz
'x,y,z'
loop_
_atom_site_label
_atom_site_type_symbol
_atom_site_fract_x
_atom_site_fract_y
_atom_site_fract_z
_atom_site_occupancy
Sr1 Sr 0.000 0.500 0.000 1
Sr2 Sr 0.500 0.000 0.000 1
Ca1 Ca 0.000 0.000 0.500 1
Hg1 Hg 0.500 0.500 0.500 1
Pd1 Pd 0.000 0.000 0.000 1

---

[6]
# SrCaHgPd PBE-GGA optimized geometry
# Total moment (μB/f.u.): 0.00
# Total DFT energy (no corrections) (eV/cell): -11.4
# Polymorph energy (0 for the lowest one) (meV per atom): 0
# Density (g/cm³): 6.30
# Space-group type: Amm2
# ΔH_f (0 K) (eV per atom): -0.5595
data_SrCaHgPd
_cell_length_a 4.745
_cell_length_b 6.088
_cell_length_c 6.088
_cell_angle_alpha 40.69
_cell_angle_beta 90.00
_cell_angle_gamma 90.00
_symmetry_space_group_name_H-M 'P 1'
_symmetry_Int_Tables_number 1
loop_
_symmetry_equiv_pos_as_xyz
'x,y,z'
loop_
_atom_site_label
_atom_site_type_symbol
_atom_site_fract_x
_atom_site_fract_y
_atom_site_fract_z
_atom_site_occupancy
Sr1 Sr 0.000 0.000 0.000 1
Ca1 Ca 0.500 0.284 0.284 1
Hg1 Hg 0.500 0.576 0.576 1
Pd1 Pd 0.000 0.721 0.721 1

---

What is the total moment in the fifth record?
0.00 μB/f.u.

---

Look up the density of the third one.
6.74 g/cm³

---

What is the ΔH_f (0 K) in the first record?
-0.5387 eV per atom

---

total DFT energy (no corrections) of number 6 (SrCaHgPd)?
-11.4 eV/cell